1.
## Rb6Hg12Pt (PBE)

Data for an optimized crystal structure of Rb6Hg12Pt.

```
data_Rb6Hg12Pt
_cell_length_a 9.221
_cell_length_b 9.221
_cell_length_c 9.221
_cell_angle_alpha 100.87
_cell_angle_beta 100.87
_cell_angle_gamma 100.87
_space_group_name_H-M_alt 'P 1'
_space_group_IT_number 1
loop_
_space_group_symop_operation_xyz
'x,y,z'
loop_
_atom_site_label
_atom_site_type_symbol
_atom_site_fract_x
_atom_site_fract_y
_atom_site_fract_z
_atom_site_occupancy
Rb1 Rb 0.067 0.431 0.259 1
Rb2 Rb 0.259 0.067 0.431 1
Rb3 Rb 0.431 0.259 0.067 1
Rb4 Rb 0.569 0.741 0.933 1
Rb5 Rb 0.741 0.933 0.569 1
Rb6 Rb 0.933 0.569 0.741 1
Hg1 Hg 0.064 0.237 0.822 1
Hg2 Hg 0.178 0.936 0.763 1
Hg3 Hg 0.237 0.822 0.064 1
Hg4 Hg 0.267 0.427 0.667 1
Hg5 Hg 0.333 0.733 0.573 1
Hg6 Hg 0.427 0.667 0.267 1
Hg7 Hg 0.573 0.333 0.733 1
Hg8 Hg 0.667 0.267 0.427 1
Hg9 Hg 0.733 0.573 0.333 1
Hg10 Hg 0.763 0.178 0.936 1
Hg11 Hg 0.822 0.064 0.237 1
Hg12 Hg 0.936 0.763 0.178 1
Pt1 Pt 0.500 0.500 0.500 1
```

Magnetic moment = 0.00 μB/f.u.
Space-group type = R-3 (148)
Energy = -18.8 eV per cell
ΔE_f = -325 kJ/mol of formula units

2.
## La2CoRu2 (PBE)

Data for an optimized crystal structure of La2CoRu2.

```
data_La2CoRu2
_cell_length_a 6.728
_cell_length_b 6.728
_cell_length_c 4.515
_cell_angle_alpha 90.00
_cell_angle_beta 90.00
_cell_angle_gamma 90.00
_space_group_name_H-M_alt 'P 1'
_space_group_IT_number 1
loop_
_space_group_symop_operation_xyz
'x,y,z'
loop_
_atom_site_label
_atom_site_type_symbol
_atom_site_fract_x
_atom_site_fract_y
_atom_site_fract_z
_atom_site_occupancy
La1 La 0.187 0.313 0.000 1
La2 La 0.313 0.813 0.000 1
La3 La 0.687 0.187 0.000 1
La4 La 0.813 0.687 0.000 1
Co1 Co 0.000 0.000 0.500 1
Co2 Co 0.500 0.500 0.500 1
Ru1 Ru 0.139 0.639 0.500 1
Ru2 Ru 0.361 0.139 0.500 1
Ru3 Ru 0.639 0.861 0.500 1
Ru4 Ru 0.861 0.361 0.500 1
```

Magnetic moment = 0.00 μB/f.u.
Space-group type = P4/mbm (127)
Energy = -70.5 eV per cell
ΔE_f = 25 kJ/mol of formula units

3.
## CsGdTl2 (PBE)

Data for an optimized crystal structure of CsGdTl2.

```
data_CsGdTl2
_cell_length_a 3.879
_cell_length_b 3.879
_cell_length_c 33.657
_cell_angle_alpha 90.00
_cell_angle_beta 90.00
_cell_angle_gamma 120.00
_space_group_name_H-M_alt 'P 1'
_space_group_IT_number 1
loop_
_space_group_symop_operation_xyz
'x,y,z'
loop_
_atom_site_label
_atom_site_type_symbol
_atom_site_fract_x
_atom_site_fract_y
_atom_site_fract_z
_atom_site_occupancy
Cs1 Cs 0.000 0.000 0.000 1
Cs2 Cs 0.333 0.667 0.667 1
Cs3 Cs 0.667 0.333 0.333 1
Gd1 Gd 0.000 0.000 0.500 1
Gd2 Gd 0.333 0.667 0.167 1
Gd3 Gd 0.667 0.333 0.833 1
Tl1 Tl 0.000 0.000 0.239 1
Tl2 Tl 0.000 0.000 0.761 1
Tl3 Tl 0.333 0.667 0.428 1
Tl4 Tl 0.333 0.667 0.906 1
Tl5 Tl 0.667 0.333 0.094 1
Tl6 Tl 0.667 0.333 0.572 1
```

Magnetic moment = 7.46 μB/f.u.
Space-group type = R-3m (166)
Energy = -59.3 eV per cell
Offset from the most stable computed form = 174 meV/atom
ΔE_f = -8 kJ/mol of formula units

4.
## AcBi3As (PBE)

Data for an optimized crystal structure of AcBi3As.

```
data_AcBi3As
_cell_length_a 5.604
_cell_length_b 5.604
_cell_length_c 5.604
_cell_angle_alpha 90.00
_cell_angle_beta 90.00
_cell_angle_gamma 90.00
_space_group_name_H-M_alt 'P 1'
_space_group_IT_number 1
loop_
_space_group_symop_operation_xyz
'x,y,z'
loop_
_atom_site_label
_atom_site_type_symbol
_atom_site_fract_x
_atom_site_fract_y
_atom_site_fract_z
_atom_site_occupancy
Ac1 Ac 0.000 0.000 0.000 1
Bi1 Bi 0.000 0.500 0.500 1
Bi2 Bi 0.500 0.000 0.500 1
Bi3 Bi 0.500 0.500 0.000 1
As1 As 0.500 0.500 0.500 1
```

Magnetic moment = 0.00 μB/f.u.
Space-group type = Pm-3m (221)
Energy = -20.4 eV per cell
ΔE_f = -2 kJ/mol of formula units

5.
## Pr3Nd6DyY2 (PBE)

Data for an optimized crystal structure of Pr3Nd6DyY2.

```
data_Pr3Nd6DyY2
_cell_length_a 6.356
_cell_length_b 6.356
_cell_length_c 12.105
_cell_angle_alpha 95.03
_cell_angle_beta 95.03
_cell_angle_gamma 120.04
_space_group_name_H-M_alt 'P 1'
_space_group_IT_number 1
loop_
_space_group_symop_operation_xyz
'x,y,z'
loop_
_atom_site_label
_atom_site_type_symbol
_atom_site_fract_x
_atom_site_fract_y
_atom_site_fract_z
_atom_site_occupancy
Pr1 Pr 0.000 0.000 0.000 1
Pr2 Pr 0.333 0.667 0.000 1
Pr3 Pr 0.667 0.333 0.000 1
Nd1 Nd 0.085 0.418 0.254 1
Nd2 Nd 0.250 0.250 0.746 1
Nd3 Nd 0.418 0.085 0.254 1
Nd4 Nd 0.582 0.915 0.746 1
Nd5 Nd 0.750 0.750 0.254 1
Nd6 Nd 0.915 0.582 0.746 1
Dy1 Dy 0.500 0.500 0.500 1
Y1 Y 0.167 0.833 0.500 1
Y2 Y 0.833 0.167 0.500 1
```

Magnetic moment = 0.00 μB/f.u.
Space-group type = C2/m (12)
Energy = -60.3 eV per cell
ΔE_f = 16 kJ/mol of formula units

6.
## YSbIN2 (PBE)

Data for an optimized crystal structure of YSbIN2.

```
data_YSbIN2
_cell_length_a 4.257
_cell_length_b 4.257
_cell_length_c 5.797
_cell_angle_alpha 90.00
_cell_angle_beta 90.00
_cell_angle_gamma 90.00
_space_group_name_H-M_alt 'P 1'
_space_group_IT_number 1
loop_
_space_group_symop_operation_xyz
'x,y,z'
loop_
_atom_site_label
_atom_site_type_symbol
_atom_site_fract_x
_atom_site_fract_y
_atom_site_fract_z
_atom_site_occupancy
Y1 Y 0.000 0.000 0.000 1
Sb1 Sb 0.500 0.500 0.500 1
I1 I 0.500 0.500 0.000 1
N1 N 0.000 0.500 0.500 1
N2 N 0.500 0.000 0.500 1
```

Magnetic moment = 0.21 μB/f.u.
Space-group type = P4/mmm (123)
Energy = -24.4 eV per cell
Offset from the most stable computed form = 12 meV/atom
Raw formation energy = 0.8714 eV per atom

7.
## KAgSbSe3 (PBE)

Data for an optimized crystal structure of KAgSbSe3.

```
data_KAgSbSe3
_cell_length_a 9.109
_cell_length_b 4.153
_cell_length_c 9.662
_cell_angle_alpha 90.00
_cell_angle_beta 106.86
_cell_angle_gamma 90.00
_space_group_name_H-M_alt 'P 1'
_space_group_IT_number 1
loop_
_space_group_symop_operation_xyz
'x,y,z'
loop_
_atom_site_label
_atom_site_type_symbol
_atom_site_fract_x
_atom_site_fract_y
_atom_site_fract_z
_atom_site_occupancy
K1 K 0.206 0.250 0.256 1
K2 K 0.794 0.750 0.744 1
Ag1 Ag 0.070 0.250 0.595 1
Ag2 Ag 0.930 0.750 0.405 1
Sb1 Sb 0.330 0.750 0.862 1
Sb2 Sb 0.670 0.250 0.138 1
Se1 Se 0.124 0.250 0.886 1
Se2 Se 0.238 0.750 0.549 1
Se3 Se 0.459 0.750 0.160 1
Se4 Se 0.541 0.250 0.840 1
Se5 Se 0.762 0.250 0.451 1
Se6 Se 0.876 0.750 0.114 1
```

Magnetic moment = 0.00 μB/f.u.
Space-group type = P2_1/m (11)
Energy = -42.4 eV per cell
Raw formation energy = -0.4457 eV per atom

8.
## Zn2SiMo (PBE)

Data for an optimized crystal structure of Zn2SiMo.

```
data_Zn2SiMo
_cell_length_a 9.153
_cell_length_b 2.651
_cell_length_c 4.911
_cell_angle_alpha 90.00
_cell_angle_beta 95.50
_cell_angle_gamma 90.00
_space_group_name_H-M_alt 'P 1'
_space_group_IT_number 1
loop_
_space_group_symop_operation_xyz
'x,y,z'
loop_
_atom_site_label
_atom_site_type_symbol
_atom_site_fract_x
_atom_site_fract_y
_atom_site_fract_z
_atom_site_occupancy
Zn1 Zn 0.000 0.000 0.000 1
Zn2 Zn 0.248 0.500 0.202 1
Zn3 Zn 0.500 0.500 0.000 1
Zn4 Zn 0.748 0.000 0.202 1
Si1 Si 0.022 0.500 0.511 1
Si2 Si 0.522 0.000 0.511 1
Mo1 Mo 0.265 0.000 0.703 1
Mo2 Mo 0.765 0.500 0.703 1
```

Magnetic moment = 0.00 μB/f.u.
Space-group type = Cm (8)
Energy = -36.9 eV per cell
Raw formation energy = 0.0842 eV per atom

9.
## BaRe3Br (PBE)

Data for an optimized crystal structure of BaRe3Br.

```
data_BaRe3Br
_cell_length_a 5.684
_cell_length_b 5.684
_cell_length_c 5.684
_cell_angle_alpha 90.00
_cell_angle_beta 90.00
_cell_angle_gamma 90.00
_space_group_name_H-M_alt 'P 1'
_space_group_IT_number 1
loop_
_space_group_symop_operation_xyz
'x,y,z'
loop_
_atom_site_label
_atom_site_type_symbol
_atom_site_fract_x
_atom_site_fract_y
_atom_site_fract_z
_atom_site_occupancy
Ba1 Ba 0.000 0.000 0.000 1
Re1 Re 0.000 0.000 0.500 1
Re2 Re 0.000 0.500 0.000 1
Re3 Re 0.500 0.000 0.000 1
Br1 Br 0.500 0.500 0.500 1
```

Magnetic moment = 12.21 μB/f.u.
Space-group type = Pm-3m (221)
Energy = -21.3 eV per cell
Offset from the most stable computed form = 1749 meV/atom
Raw formation energy = 3.9182 eV per atom

10.
## Dy2SiN3 (PBE)

Data for an optimized crystal structure of Dy2SiN3.

```
data_Dy2SiN3
_cell_length_a 5.813
_cell_length_b 5.813
_cell_length_c 11.334
_cell_angle_alpha 91.29
_cell_angle_beta 91.29
_cell_angle_gamma 126.38
_space_group_name_H-M_alt 'P 1'
_space_group_IT_number 1
loop_
_space_group_symop_operation_xyz
'x,y,z'
loop_
_atom_site_label
_atom_site_type_symbol
_atom_site_fract_x
_atom_site_fract_y
_atom_site_fract_z
_atom_site_occupancy
Dy1 Dy 0.030 0.430 0.356 1
Dy2 Dy 0.124 0.349 0.931 1
Dy3 Dy 0.349 0.124 0.431 1
Dy4 Dy 0.430 0.030 0.856 1
Dy5 Dy 0.570 0.970 0.144 1
Dy6 Dy 0.651 0.876 0.569 1
Dy7 Dy 0.876 0.651 0.069 1
Dy8 Dy 0.970 0.570 0.644 1
Si1 Si 0.266 0.266 0.166 1
Si2 Si 0.266 0.266 0.666 1
Si3 Si 0.734 0.734 0.334 1
Si4 Si 0.734 0.734 0.834 1
N1 N 0.000 0.000 0.250 1
N2 N 0.000 0.000 0.750 1
N3 N 0.131 0.326 0.540 1
N4 N 0.140 0.470 0.137 1
N5 N 0.326 0.131 0.040 1
N6 N 0.413 0.587 0.750 1
N7 N 0.470 0.140 0.637 1
N8 N 0.530 0.860 0.363 1
N9 N 0.587 0.413 0.250 1
N10 N 0.674 0.869 0.960 1
N11 N 0.860 0.530 0.863 1
N12 N 0.869 0.674 0.460 1
```

Magnetic moment = 0.00 μB/f.u.
Space-group type = C2/c (15)
Energy = -191.1 eV per cell
Raw formation energy = -1.3609 eV per atom

11.
## Ac2MnHS6 (PBE)

Data for an optimized crystal structure of Ac2MnHS6.

```
data_Ac2MnHS6
_cell_length_a 6.448
_cell_length_b 6.448
_cell_length_c 7.126
_cell_angle_alpha 115.19
_cell_angle_beta 115.19
_cell_angle_gamma 52.33
_space_group_name_H-M_alt 'P 1'
_space_group_IT_number 1
loop_
_space_group_symop_operation_xyz
'x,y,z'
loop_
_atom_site_label
_atom_site_type_symbol
_atom_site_fract_x
_atom_site_fract_y
_atom_site_fract_z
_atom_site_occupancy
Ac1 Ac 0.222 0.222 0.221 1
Ac2 Ac 0.778 0.778 0.779 1
Mn1 Mn 0.000 0.000 0.500 1
H1 H 0.500 0.500 0.000 1
S1 S 0.224 0.703 0.199 1
S2 S 0.226 0.226 0.638 1
S3 S 0.297 0.776 0.801 1
S4 S 0.703 0.224 0.199 1
S5 S 0.774 0.774 0.362 1
S6 S 0.776 0.297 0.801 1
```

Magnetic moment = 3.84 μB/f.u.
Space-group type = C2/m (12)
Energy = -55.5 eV per cell